Entry from the Alexandria database: a geometry-optimized Cr2FeRu structure (GGA-PBE).

## Properties
As for the calculated formation energy: 89 kJ/mol of formula units. The excess energy over the best structure of this formula in the dataset is 0.459 eV per formula unit. Its volume is 12.309 Å³ per atom. For the total magnetization, the calculation gives 0.95 μB/cell.

```
Cr2FeRu
1.0
-5.328 -6.310 -2.015
-5.471 -6.480 0.583
-6.988 -4.790 -0.698
Cr Fe Ru
2 1 1
Direct
0.248 0.248 0.248
0.999 0.999 0.999
0.504 0.504 0.504
0.749 0.749 0.749
```